11
Lattice="6.753 -0.006 0.054 -3.343 5.868 0.054 -1.223 -2.102 7.553" Properties=species:S:1:pos:R:3 comment="Dy2HfTl2S6 | Alexandria | PBE | relaxed" n_ef_per_ev_fu=0.00 energy_ev_per_atom=-5.945 raw_formation_energy_mev_per_atom=-1522 spacegroup="C2/m, No. 12" pbc="T T T"
S 1.723 2.961 5.318
S 3.861 2.984 2.411
S -1.674 0.776 5.250
S 0.685 4.831 2.411
S 1.502 -1.072 5.250
S 0.465 0.799 2.343
Hf -0.611 -1.051 3.776
Dy -0.592 2.861 3.831
Dy 2.780 0.899 3.831
Tl -1.630 4.871 0.054
Tl 5.041 0.990 0.054

---

4
Lattice="4.851 0.000 0.000 2.425 4.201 0.000 2.425 1.400 3.960" Properties=species:S:1:pos:R:3 comment="LiEuZrIr | Alexandria | PBE | relaxed" ef_mev_per_atom=-239 n_ef_per_ev_fu=4.58 energy_ev_per_atom=-7.638 spacegroup="F-43m, No. 216" pbc="T T T"
Zr 2.425 1.400 0.990
Li 0.000 0.000 0.000
Eu 7.276 4.201 2.970
Ir 4.851 2.800 1.980

---

4
Lattice="-0.598 -2.189 1.585 1.959 -1.469 -1.290 5.315 2.408 5.332" Properties=species:S:1:pos:R:3 comment="ZnIrW2 | Alexandria | PBE | relaxed" ef_mev_per_atom=27 n_ef_per_ev_fu=1.72 energy_ev_per_atom=-8.983 spacegroup="P4/mmm, No. 123" pbc="T T T"
Zn 2.010 -1.227 1.480
W 5.306 2.403 5.322
W 2.667 1.208 2.675
Ir 4.667 -0.023 4.146